A relaxed ErMgCuSn crystal, computed with PBE.

a = 6.998 Å, b = 6.998 Å, c = 6.998 Å
α = 90.00°, β = 90.00°, γ = 90.00°
Space group F-43m (No. 216)
One atom of each set of equivalent atoms:
Er  0.000  0.000  0.000
Mg  0.000  0.000  0.500
Cu  0.250  0.250  0.250
Sn  0.250  0.250  0.750

Output
Size of the total moment   0.0 μB/cell
DOS(E_F)   5.3 states/eV/cell
Formation enthalpy at 0 K   -0.30 eV per atom

A relaxed Ca2YTlO crystal, computed with PBE.

a = 4.824 Å, b = 4.824 Å, c = 4.880 Å
α = 90.00°, β = 90.00°, γ = 90.00°
Space group P4/mmm (No. 123)
One atom of each set of equivalent atoms:
Ca  0.000  0.500  0.000
Y  0.000  0.000  0.500
Tl  0.500  0.500  0.500
O  0.000  0.000  0.000

Output
Size of the total moment   0.0 μB/cell
DOS(E_F)   0.9 states/eV/cell
Formation energy from raw total energies   -1399 meV/atom

A relaxed YCo5Ge3 crystal, computed with PBE.

a = 3.814 Å, b = 12.152 Å, c = 11.227 Å
α = 90.00°, β = 90.00°, γ = 90.00°
Space group Cmcm (No. 63)
One atom of each set of equivalent atoms:
Y  0.000  0.182  0.250
Co  0.000  0.000  0.000
Co  0.000  0.190  0.562
Co  0.000  0.450  0.143
Ge  0.000  0.105  0.750
Ge  0.000  0.377  0.551

Output
Size of the total moment   9.7 μB/cell
DOS(E_F)   37.2 states/eV/cell
Formation enthalpy at 0 K   -0.31 eV per atom

A relaxed In5Te crystal, computed with PBE.

a = 5.189 Å, b = 13.025 Å, c = 5.068 Å
α = 90.00°, β = 90.00°, γ = 90.00°
Space group Cmmm (No. 65)
One atom of each set of equivalent atoms:
In  0.000  0.000  0.000
In  0.000  0.161  0.500
In  0.000  0.326  0.000
Te  0.000  0.500  0.500

Output
Size of the total moment   0.0 μB/cell
DOS(E_F)   5.0 states/eV/cell
Formation energy from raw total energies   -31 meV/atom

A relaxed RbPtF crystal, computed with PBE.

a = 4.171 Å, b = 6.260 Å, c = 6.968 Å
α = 113.04°, β = 91.80°, γ = 102.60°
Space group P1 (No. 1)
One atom of each set of equivalent atoms:
Rb  0.000  0.000  0.000
Rb  0.281  0.641  0.357
Pt  0.339  0.422  0.767
Pt  0.781  0.281  0.585
F  0.611  0.275  0.241
F  0.882  0.939  0.363

Output
Size of the total moment   0.9 μB/cell
DOS(E_F)   3.4 states/eV/cell
Formation energy from raw total energies   -1026 meV/atom

A relaxed Sc7TlRh2 crystal, computed with PBE.

a = 8.186 Å, b = 12.976 Å, c = 4.887 Å
α = 90.00°, β = 90.00°, γ = 90.00°
Space group Cmmm (No. 65)
One atom of each set of equivalent atoms:
Sc  0.000  0.000  0.000
Sc  0.000  0.219  0.500
Sc  0.187  0.373  0.000
Tl  0.000  0.500  0.500
Rh  0.000  0.202  0.000

Output
Size of the total moment   0.0 μB/cell
DOS(E_F)   23.4 states/eV/cell
Formation enthalpy at 0 K   -0.20 eV per atom

A relaxed LaFe2AgAs crystal, computed with PBE.

a = 4.422 Å, b = 4.422 Å, c = 5.589 Å
α = 90.00°, β = 90.00°, γ = 90.00°
Space group P4/mmm (No. 123)
One atom of each set of equivalent atoms:
La  0.000  0.000  0.000
Fe  0.000  0.500  0.500
Ag  0.500  0.500  0.000
As  0.000  0.000  0.500

Output
Size of the total moment   0.0 μB/cell
DOS(E_F)   7.8 states/eV/cell
Formation enthalpy at 0 K   0.59 eV per atom

A relaxed Cs2BiP2 crystal, computed with PBE.

a = 7.490 Å, b = 7.490 Å, c = 5.915 Å
α = 90.00°, β = 90.00°, γ = 90.00°
Space group P4/mbm (No. 127)
One atom of each set of equivalent atoms:
Cs  0.182  0.318  0.000
Bi  0.000  0.000  0.500
P  0.102  0.602  0.500

Output
Size of the total moment   0.0 μB/cell
DOS(E_F)   9.0 states/eV/cell
Formation enthalpy at 0 K   -0.21 eV per atom